Material: PrPH
Method: DFT, PBE-GGA
State: relaxed

Cell lengths 4.154, 5.500, 6.007 Å; angles 67.84, 69.79, 67.89 degrees
Space group P-1 (No. 2)
Inequivalent atoms, fractional coordinates:
Pr (0.221, 0.306, 0.251) (multiplicity 2)
P (0.476, 0.696, 0.353) (multiplicity 2)
H (0.184, 0.701, 0.931) (multiplicity 2)

Computed properties:
E above lowest polymorph, eV/atom: 0.000

---

Material: Pr6P5H
Method: DFT, PBE-GGA
State: relaxed

Cell lengths 7.212, 12.476, 7.219 Å; angles 90.00, 109.50, 90.00 degrees
Space group C2/m (No. 12)
Inequivalent atoms, fractional coordinates:
Pr (0.243, 0.000, 0.257) (multiplicity 4)
Pr (0.245, 0.171, 0.747) (multiplicity 8)
P (0.000, 0.000, 0.500) (multiplicity 2)
P (0.000, 0.167, 0.000) (multiplicity 4)
P (0.000, 0.333, 0.500) (multiplicity 4)
H (0.000, 0.500, 0.000) (multiplicity 2)

---

Material: Pr4P2H
Method: DFT, PBE-GGA
State: relaxed

Cell lengths 4.417, 4.417, 17.162 Å; angles 90.00, 90.00, 90.00 degrees
Space group I4/mmm (No. 139)
Inequivalent atoms, fractional coordinates:
Pr (0.000, 0.000, 0.179) (multiplicity 4)
Pr (0.000, 0.500, 0.000) (multiplicity 4)
P (0.000, 0.000, 0.353) (multiplicity 4)
H (0.000, 0.000, 0.500) (multiplicity 2)

---

Material: Pr4P3H
Method: DFT, PBE-GGA
State: relaxed

Cell lengths 4.148, 11.632, 8.286 Å; angles 90.00, 90.00, 90.00 degrees
Space group Amm2 (No. 38)
Inequivalent atoms, fractional coordinates:
Pr (0.000, 0.000, 0.000) (multiplicity 2)
Pr (0.000, 0.000, 0.483) (multiplicity 2)
Pr (0.500, 0.249, 0.241) (multiplicity 4)
P (0.000, 0.250, 0.491) (multiplicity 4)
P (0.500, 0.000, 0.241) (multiplicity 2)
H (0.500, 0.000, 0.740) (multiplicity 2)

---

Material: PrPH
Method: DFT, PBE-GGA
State: relaxed

Cell lengths 3.9047, 3.9047, 4.1804 Å; angles 90.00, 90.00, 120.00 degrees
Space group P-6m2 (No. 187)
Inequivalent atoms, fractional coordinates:
Pr (0.0000, 0.0000, 0.0000) (multiplicity 1)
P (0.6667, 0.3333, 0.5000) (multiplicity 1)
H (0.3333, 0.6667, 0.0000) (multiplicity 1)

Computed properties:
E above lowest polymorph, eV/atom: 0.207

---

Material: Pr2PH
Method: DFT, PBE-GGA
State: relaxed

Cell lengths 3.9387, 3.9387, 20.3324 Å; angles 90.00, 90.00, 120.00 degrees
Space group R3m (No. 160, hexagonal axes)
Inequivalent atoms, fractional coordinates:
Pr (0.0000, 0.0000, 0.0000) (multiplicity 3)
Pr (0.0000, 0.0000, 0.1684) (multiplicity 3)
P (0.0000, 0.0000, 0.5850) (multiplicity 3)
H (0.0000, 0.0000, 0.7583) (multiplicity 3)

Computed properties:
E above lowest polymorph, eV/atom: 0.102

---

Material: PrPH
Method: DFT, PBE-GGA
State: relaxed

Cell lengths 4.047, 4.047, 7.092 Å; angles 90.00, 90.00, 90.00 degrees
Space group I4mm (No. 107)
Inequivalent atoms, fractional coordinates:
Pr (0.000, 0.000, 0.000) (multiplicity 2)
P (0.000, 0.000, 0.596) (multiplicity 2)
H (0.000, 0.000, 0.377) (multiplicity 2)

Computed properties:
E above lowest polymorph, eV/atom: 0.277

---

Material: Pr2PHPt6
Method: DFT, PBE-GGA
State: relaxed

Cell lengths 10.009, 5.789, 6.795 Å; angles 90.00, 119.42, 90.00 degrees
Space group C2/m (No. 12)
Inequivalent atoms, fractional coordinates:
Pr (0.219, 0.000, 0.157) (multiplicity 4)
P (0.000, 0.500, 0.000) (multiplicity 2)
H (0.000, 0.000, 0.500) (multiplicity 2)
Pt (0.021, 0.255, 0.306) (multiplicity 8)
Pt (0.234, 0.000, 0.695) (multiplicity 4)

---

Number 1: electronic total energy -0.1967 Ha/atom. Number 2: electronic total energy -0.2304 Ha/atom. Number 3: electronic total energy -0.2017 Ha/atom. Number 4: electronic total energy -0.2228 Ha/atom. Number 5: electronic total energy -0.1891 Ha/atom. Number 6: electronic total energy -0.1989 Ha/atom. Number 7: electronic total energy -0.1866 Ha/atom. Number 8: electronic total energy -0.2289 Ha/atom.